# Ho3TmThSc PBE optimized geometry
# calculated formation energy: 0.27 eV per formula unit
# ρ: 8.7 g/cm³
# total energy: -126.74 eV per cell
data_Ho3TmThSc
_chemical_formula_sum 'Ho12 Tm4 Th4 Sc4'
_cell_length_a 4.908
_cell_length_b 14.779
_cell_length_c 9.943
_cell_angle_alpha 90.00
_cell_angle_beta 90.00
_cell_angle_gamma 90.00
_space_group_name_H-M_alt 'C m c m'
_space_group_IT_number 63
_space_group_name_Hall '-C 2c 2'
loop_
_atom_site_label
_atom_site_type_symbol
_atom_site_fract_x
_atom_site_fract_y
_atom_site_fract_z
Ho1 Ho 0.000 0.165 0.000
Ho2 Ho 0.000 0.332 0.250
Tm1 Tm 0.000 0.500 0.000
Th1 Th 0.000 0.003 0.250
Sc1 Sc 0.000 0.335 0.750